(1)
## NaTb2CuSe4 (GGA-PBE)

Data for NaTb2CuSe4 after structural relaxation.

As for the space group: Cmcm. For the total energy, the calculation gives -0.185 Ha/atom.

a = 4.070 Å, b = 7.117 Å, c = 14.333 Å
α = 90.00°, β = 90.00°, γ = 106.61°
Sites, in units of the cell vectors:
Se  0.728  0.457  0.883
Se  0.272  0.543  0.117
Se  0.551  0.103  0.250
Se  0.000  0.000  0.000
Se  0.272  0.543  0.383
Cu  0.845  0.690  0.750
Tb  0.365  0.730  0.932
Cu  0.155  0.310  0.250
Tb  0.635  0.270  0.068
Se  0.449  0.897  0.750
Se  0.000  0.000  0.500
Na  0.883  0.766  0.250
Tb  0.635  0.270  0.432
Tb  0.365  0.730  0.568
Se  0.728  0.457  0.617
Na  0.117  0.234  0.750



(2)
## Na2CuTeSe4 (GGA-PBE)

Data for Na2CuTeSe4 after structural relaxation.

As for the space group: P2/m. For the total energy, the calculation gives -0.124 Ha/atom.

a = 3.856 Å, b = 7.258 Å, c = 7.522 Å
α = 110.93°, β = 90.00°, γ = 90.00°
Sites, in units of the cell vectors:
Na  0.500  0.000  0.500
Se  0.500  0.791  0.821
Se  0.000  0.724  0.252
Cu  0.000  0.000  0.000
Na  0.000  0.500  0.500
Se  0.000  0.276  0.748
Te  0.500  0.500  0.000
Se  0.500  0.209  0.179



(3)
## NaCu2TeSe (GGA-PBE)

Data for NaCu2TeSe after structural relaxation.

As for the space group: P2_1/m. For the total energy, the calculation gives -0.131 Ha/atom.

a = 4.244 Å, b = 7.302 Å, c = 7.307 Å
α = 99.66°, β = 90.00°, γ = 90.00°
Sites, in units of the cell vectors:
Te  0.250  0.461  0.270
Cu  0.250  0.683  0.599
Cu  0.750  0.317  0.401
Se  0.750  0.969  0.287
Na  0.250  0.787  0.024
Te  0.750  0.539  0.730
Se  0.250  0.031  0.713
Na  0.750  0.213  0.976
Cu  0.750  0.874  0.608
Cu  0.250  0.126  0.392